MnCr2PbF8: relaxed, GGA+U.

a = 4.650 Å, b = 5.218 Å, c = 7.497 Å
α = 84.86°, β = 88.92°, γ = 86.63°
Space group P-1 (No. 2)
Unique sites:
1 Mn 0.000 0.000 0.000 (multiplicity 1)
2 Cr 0.490 0.498 0.770 (multiplicity 2)
3 Pb 0.000 0.000 0.500 (multiplicity 1)
4 F 0.164 0.770 0.792 (multiplicity 2)
5 F 0.171 0.765 0.235 (multiplicity 2)
6 F 0.333 0.273 0.979 (multiplicity 2)
7 F 0.391 0.286 0.454 (multiplicity 2)

Properties
Volume   15.07 Å³ per atom
Crystal system   triclinic
Spin magnetization   13.000 μB per cell
DFT total energy   -71.53 eV/f.u.
D(E_F)   0.0 states/eV/cell